# 1
The following is a PBE calculation of crystalline LiTmThAl at its relaxed geometry, from Alexandria.

formation enthalpy at 0 K: -0.124 eV/atom
density: 7.43 Mg/m³
crystal system: cubic
spin magnetization: 0.00 μB/atom

Cell and atoms, written as POSCAR:
```
LiTmThAl
1.0
0.0000 3.6489 3.6489
3.6489 0.0000 3.6489
3.6489 3.6489 0.0000
Li Tm Th Al
1 1 1 1
direct
0.0000 0.0000 0.0000
0.2500 0.2500 0.2500
0.7500 0.7500 0.7500
0.5000 0.5000 0.5000
```

# 2
The following is a PBE calculation of crystalline LiYThAl at its relaxed geometry, from Alexandria.

formation enthalpy at 0 K: -0.137 eV/atom
density: 5.92 Mg/m³
crystal system: cubic
spin magnetization: 0.00 μB/atom

Cell and atoms, written as POSCAR:
```
LiYThAl
1.0
0.0000 3.6773 3.6773
3.6773 0.0000 3.6773
3.6773 3.6773 0.0000
Li Y Th Al
1 1 1 1
direct
0.0000 0.0000 0.0000
0.7500 0.7500 0.7500
0.2500 0.2500 0.2500
0.5000 0.5000 0.5000
```

# 3
The following is a PBE calculation of crystalline LiThAlZn2 at its relaxed geometry, from Alexandria.

formation enthalpy at 0 K: -0.246 eV/atom
density: 6.78 Mg/m³
crystal system: tetragonal
spin magnetization: 0.00 μB/atom

Cell and atoms, written as POSCAR:
```
LiThAlZn2
1.0
-2.1431 2.1431 5.2899
2.1431 -2.1431 5.2899
2.1431 2.1431 -5.2899
Li Th Al Zn
1 1 1 2
direct
0.0000 0.0000 0.0000
0.7500 0.2500 0.5000
0.5000 0.5000 0.0000
0.1337 0.6337 0.5000
0.3663 0.8663 0.5000
```

# 4
The following is a PBE calculation of crystalline LiThAl3Zn at its relaxed geometry, from Alexandria.

formation enthalpy at 0 K: 0.014 eV/atom
density: 5.17 Mg/m³
crystal system: orthorhombic
spin magnetization: 0.00 μB/atom

Cell and atoms, written as POSCAR:
```
LiThAl3Zn
1.0
3.0009 -6.5498 0.0000
3.0009 6.5498 0.0000
0.0000 0.0000 6.2981
Li Th Al Zn
2 2 6 2
direct
0.1522 0.8478 0.7500
0.8478 0.1522 0.2500
0.1917 0.8083 0.2500
0.8083 0.1917 0.7500
0.2164 0.2164 0.0000
0.2164 0.2164 0.5000
0.3722 0.6278 0.7500
0.6278 0.3722 0.2500
0.7836 0.7836 0.0000
0.7836 0.7836 0.5000
0.4116 0.5884 0.2500
0.5884 0.4116 0.7500
```

# 5
The following is a PBE calculation of crystalline LiThAl2Zn at its relaxed geometry, from Alexandria.

formation enthalpy at 0 K: -0.285 eV/atom
density: 6.01 Mg/m³
crystal system: tetragonal
spin magnetization: 0.00 μB/atom

Cell and atoms, written as POSCAR:
```
LiThAl2Zn
1.0
-2.1501 2.1501 5.3530
2.1501 -2.1501 5.3530
2.1501 2.1501 -5.3530
Li Th Al Zn
1 1 2 1
direct
0.0000 0.0000 0.0000
0.2500 0.7500 0.5000
0.6307 0.1307 0.5000
0.8693 0.3693 0.5000
0.5000 0.5000 0.0000
```

# 6
The following is a PBE calculation of crystalline LiTh2Al4Zn3 at its relaxed geometry, from Alexandria.

formation enthalpy at 0 K: -0.332 eV/atom
density: 6.60 Mg/m³
crystal system: tetragonal
spin magnetization: 0.00 μB/atom

Cell and atoms, written as POSCAR:
```
LiTh2Al4Zn3
1.0
4.2688 0.0000 0.0000
0.0000 4.2688 0.0000
0.0000 0.0000 10.6997
Li Th Al Zn
1 2 4 3
direct
0.0000 0.0000 0.0000
0.0000 0.5000 0.7500
0.5000 0.0000 0.2500
0.0000 0.0000 0.5000
0.0000 0.5000 0.1302
0.5000 0.0000 0.8698
0.5000 0.5000 0.5000
0.0000 0.5000 0.3621
0.5000 0.0000 0.6379
0.5000 0.5000 0.0000
```

# 7
The following is a PBE calculation of crystalline LiTh2Al3Zn4 at its relaxed geometry, from Alexandria.

formation enthalpy at 0 K: -0.321 eV/atom
density: 6.95 Mg/m³
crystal system: tetragonal
spin magnetization: 0.00 μB/atom

Cell and atoms, written as POSCAR:
```
LiTh2Al3Zn4
1.0
4.2853 0.0000 0.0000
0.0000 4.2853 0.0000
0.0000 0.0000 10.5881
Li Th Al Zn
1 2 3 4
direct
0.0000 0.0000 0.0000
0.0000 0.5000 0.7458
0.5000 0.0000 0.2542
0.0000 0.5000 0.3647
0.5000 0.0000 0.6353
0.5000 0.5000 0.0000
0.0000 0.0000 0.5000
0.0000 0.5000 0.1310
0.5000 0.0000 0.8690
0.5000 0.5000 0.5000
```

# 8
The following is a PBE calculation of crystalline LiThZrAl at its relaxed geometry, from Alexandria.

formation enthalpy at 0 K: -0.052 eV/atom
density: 6.64 Mg/m³
crystal system: cubic
spin magnetization: 0.00 μB/atom

Cell and atoms, written as POSCAR:
```
LiThZrAl
1.0
0.0000 3.5478 3.5478
3.5478 0.0000 3.5478
3.5478 3.5478 0.0000
Li Th Zr Al
1 1 1 1
direct
0.0000 0.0000 0.0000
0.7500 0.7500 0.7500
0.2500 0.2500 0.2500
0.5000 0.5000 0.5000
```

# 9
The following is a PBE calculation of crystalline LiTi3Al at its relaxed geometry, from Alexandria.

formation enthalpy at 0 K: 0.638 eV/atom
density: 3.47 Mg/m³
crystal system: cubic
spin magnetization: 0.00 μB/atom

Cell and atoms, written as POSCAR:
```
LiTi3Al
1.0
4.3951 0.0000 0.0000
0.0000 4.3951 0.0000
0.0000 0.0000 4.3951
Li Ti Al
1 3 1
direct
0.0000 0.0000 0.0000
0.0000 0.0000 0.5000
0.0000 0.5000 0.0000
0.5000 0.0000 0.0000
0.5000 0.5000 0.5000
```

# 10
The following is a PBE calculation of crystalline Li2TiAl2 at its relaxed geometry, from Alexandria.

formation enthalpy at 0 K: 0.041 eV/atom
density: 2.43 Mg/m³
crystal system: tetragonal
spin magnetization: 0.11 μB/atom

Cell and atoms, written as POSCAR:
```
Li2TiAl2
1.0
7.5497 0.0000 0.0000
0.0000 7.5497 0.0000
0.0000 0.0000 2.7781
Li Ti Al
4 2 4
direct
0.1648 0.3352 0.0000
0.3352 0.8352 0.0000
0.6648 0.1648 0.0000
0.8352 0.6648 0.0000
0.0000 0.0000 0.5000
0.5000 0.5000 0.5000
0.1345 0.6345 0.5000
0.3655 0.1345 0.5000
0.6345 0.8655 0.5000
0.8655 0.3655 0.5000
```

# 11
The following is a PBE calculation of crystalline LiTi2Al4 at its relaxed geometry, from Alexandria.

formation enthalpy at 0 K: -0.208 eV/atom
density: 2.89 Mg/m³
crystal system: orthorhombic
spin magnetization: 0.00 μB/atom

Cell and atoms, written as POSCAR:
```
LiTi2Al4
1.0
3.2050 -4.3529 0.0000
3.2050 4.3529 0.0000
0.0000 0.0000 4.3399
Li Ti Al
1 2 4
direct
0.0000 0.0000 0.0000
0.2199 0.7801 0.5000
0.7801 0.2199 0.5000
0.0000 0.5000 0.0000
0.2949 0.2949 0.5000
0.5000 0.0000 0.0000
0.7051 0.7051 0.5000
```

# 12
The following is a PBE calculation of crystalline Li3TiAl at its relaxed geometry, from Alexandria.

formation enthalpy at 0 K: 1.079 eV/atom
density: 1.37 Mg/m³
crystal system: cubic
spin magnetization: 0.55 μB/atom

Cell and atoms, written as POSCAR:
```
Li3TiAl
1.0
4.8791 0.0000 0.0000
0.0000 4.8791 0.0000
0.0000 0.0000 4.8791
Li Ti Al
3 1 1
direct
0.0000 0.0000 0.5000
0.0000 0.5000 0.0000
0.5000 0.0000 0.0000
0.0000 0.0000 0.0000
0.5000 0.5000 0.5000
```

# 13
The following is a PBE calculation of crystalline LiTiAl6 at its relaxed geometry, from Alexandria.

formation enthalpy at 0 K: -0.262 eV/atom
density: 2.82 Mg/m³
crystal system: tetragonal
spin magnetization: 0.00 μB/atom

Cell and atoms, written as POSCAR:
```
LiTiAl6
1.0
5.6756 0.0000 0.0000
0.0000 5.6756 0.0000
0.0000 0.0000 3.9615
Li Ti Al
1 1 6
direct
0.0000 0.0000 0.0000
0.5000 0.5000 0.0000
0.0000 0.5000 0.0000
0.2500 0.2500 0.5000
0.2500 0.7500 0.5000
0.5000 0.0000 0.0000
0.7500 0.2500 0.5000
0.7500 0.7500 0.5000
```

# 14
The following is a PBE calculation of crystalline Li2TiAl at its relaxed geometry, from Alexandria.

formation enthalpy at 0 K: 0.398 eV/atom
density: 2.11 Mg/m³
crystal system: tetragonal
spin magnetization: 0.30 μB/atom

Cell and atoms, written as POSCAR:
```
Li2TiAl
1.0
-3.5832 3.5832 2.7149
3.5832 -3.5832 2.7149
3.5832 3.5832 -2.7149
Li Ti Al
4 2 2
direct
0.1124 0.6250 0.9874
0.3750 0.3624 0.4874
0.6376 0.1250 0.0126
0.8750 0.8876 0.5126
0.2500 0.7500 0.5000
0.5000 0.5000 0.0000
0.0000 0.0000 0.0000
0.7500 0.2500 0.5000
```

# 15
The following is a PBE calculation of crystalline LiTi2Al9 at its relaxed geometry, from Alexandria.

formation enthalpy at 0 K: -0.283 eV/atom
density: 3.01 Mg/m³
crystal system: tetragonal
spin magnetization: 0.00 μB/atom

Cell and atoms, written as POSCAR:
```
LiTi2Al9
1.0
3.9828 0.0000 0.0000
0.0000 3.9828 0.0000
0.0000 0.0000 12.0042
Li Ti Al
1 2 9
direct
0.0000 0.0000 0.0000
0.0000 0.0000 0.3362
0.0000 0.0000 0.6638
0.0000 0.5000 0.1670
0.0000 0.5000 0.5000
0.0000 0.5000 0.8330
0.5000 0.0000 0.1670
0.5000 0.0000 0.5000
0.5000 0.0000 0.8330
0.5000 0.5000 0.0000
0.5000 0.5000 0.3340
0.5000 0.5000 0.6660
```

# 16
The following is a PBE calculation of crystalline Li3TiAl at its relaxed geometry, from Alexandria.

formation enthalpy at 0 K: 0.726 eV/atom
density: 1.64 Mg/m³
crystal system: cubic
spin magnetization: 0.00 μB/atom

Cell and atoms, written as POSCAR:
```
Li3TiAl
1.0
4.5923 0.0000 0.0000
0.0000 4.5923 0.0000
0.0000 0.0000 4.5923
Li Ti Al
3 1 1
direct
0.0000 0.0000 0.5000
0.0000 0.5000 0.0000
0.5000 0.0000 0.0000
0.5000 0.5000 0.5000
0.0000 0.0000 0.0000
```

# 17
The following is a PBE calculation of crystalline Li2TiAl2 at its relaxed geometry, from Alexandria.

formation enthalpy at 0 K: -0.093 eV/atom
density: 2.53 Mg/m³
crystal system: tetragonal
spin magnetization: 0.00 μB/atom

Cell and atoms, written as POSCAR:
```
Li2TiAl2
1.0
7.4789 0.0000 0.0000
0.0000 7.4789 0.0000
0.0000 0.0000 2.7162
Li Ti Al
4 2 4
direct
0.1146 0.3854 0.0000
0.3854 0.8854 0.0000
0.6146 0.1146 0.0000
0.8854 0.6146 0.0000
0.0000 0.0000 0.0000
0.5000 0.5000 0.0000
0.1843 0.6843 0.5000
0.3157 0.1843 0.5000
0.6843 0.8157 0.5000
0.8157 0.3157 0.5000
```

# 18
The following is a PBE calculation of crystalline LiTiAlZn at its relaxed geometry, from Alexandria.

formation enthalpy at 0 K: -0.133 eV/atom
density: 3.93 Mg/m³
crystal system: cubic
spin magnetization: 0.00 μB/atom

Cell and atoms, written as POSCAR:
```
LiTiAlZn
1.0
0.0000 3.1443 3.1443
3.1443 0.0000 3.1443
3.1443 3.1443 0.0000
Li Ti Al Zn
1 1 1 1
direct
0.0000 0.0000 0.0000
0.5000 0.5000 0.5000
0.2500 0.2500 0.2500
0.7500 0.7500 0.7500
```

# 19
The following is a PBE calculation of crystalline LiZrTiAl at its relaxed geometry, from Alexandria.

formation enthalpy at 0 K: -0.090 eV/atom
density: 4.09 Mg/m³
crystal system: cubic
spin magnetization: 0.00 μB/atom

Cell and atoms, written as POSCAR:
```
LiZrTiAl
1.0
0.0000 3.2757 3.2757
3.2757 0.0000 3.2757
3.2757 3.2757 0.0000
Li Zr Ti Al
1 1 1 1
direct
0.0000 0.0000 0.0000
0.7500 0.7500 0.7500
0.2500 0.2500 0.2500
0.5000 0.5000 0.5000
```

# 20
The following is a PBE calculation of crystalline LiAlTl2 at its relaxed geometry, from Alexandria.

formation enthalpy at 0 K: 0.031 eV/atom
density: 8.03 Mg/m³
crystal system: orthorhombic
spin magnetization: 0.00 μB/atom

Cell and atoms, written as POSCAR:
```
LiAlTl2
1.0
3.9876 0.0000 0.0000
0.0000 4.6534 0.0000
0.0000 0.0000 4.9310
Li Al Tl
1 1 2
direct
0.0000 0.0000 0.0000
0.0000 0.5000 0.5000
0.5000 0.0000 0.5000
0.5000 0.5000 0.0000
```

# 21
The following is a PBE calculation of crystalline Li3AlTl at its relaxed geometry, from Alexandria.

formation enthalpy at 0 K: 0.243 eV/atom
density: 3.29 Mg/m³
crystal system: cubic
spin magnetization: 0.14 μB/atom

Cell and atoms, written as POSCAR:
```
Li3AlTl
1.0
5.0312 0.0000 0.0000
0.0000 5.0312 0.0000
0.0000 0.0000 5.0312
Li Al Tl
3 1 1
direct
0.0000 0.0000 0.5000
0.0000 0.5000 0.0000
0.5000 0.0000 0.0000
0.0000 0.0000 0.0000
0.5000 0.5000 0.5000
```

# 22
The following is a PBE calculation of crystalline LiAl2Tl at its relaxed geometry, from Alexandria.

formation enthalpy at 0 K: 0.146 eV/atom
density: 5.42 Mg/m³
crystal system: tetragonal
spin magnetization: 0.00 μB/atom

Cell and atoms, written as POSCAR:
```
LiAl2Tl
1.0
3.0540 0.0000 0.0000
0.0000 3.0540 0.0000
0.0000 0.0000 8.7065
Li Al Tl
1 2 1
direct
0.0000 0.0000 0.0000
0.5000 0.5000 0.2083
0.5000 0.5000 0.7917
0.0000 0.0000 0.5000
```

# 23
The following is a PBE calculation of crystalline LiAl2Tl at its relaxed geometry, from Alexandria.

formation enthalpy at 0 K: 0.040 eV/atom
density: 5.63 Mg/m³
crystal system: tetragonal
spin magnetization: 0.00 μB/atom

Cell and atoms, written as POSCAR:
```
LiAl2Tl
1.0
-2.0448 2.0448 4.6748
2.0448 -2.0448 4.6748
2.0448 2.0448 -4.6748
Li Al Tl
1 2 1
direct
0.0000 0.0000 0.0000
0.2500 0.7500 0.5000
0.7500 0.2500 0.5000
0.5000 0.5000 0.0000
```

# 24
The following is a PBE calculation of crystalline LiAlTl2 at its relaxed geometry, from Alexandria.

formation enthalpy at 0 K: 0.051 eV/atom
density: 7.83 Mg/m³
crystal system: tetragonal
spin magnetization: 0.00 μB/atom

Cell and atoms, written as POSCAR:
```
LiAlTl2
1.0
3.2203 0.0000 0.0000
0.0000 3.2203 0.0000
0.0000 0.0000 9.0524
Li Al Tl
1 1 2
direct
0.0000 0.0000 0.0000
0.5000 0.5000 0.8185
0.0000 0.0000 0.5558
0.5000 0.5000 0.2287
```

# 25
The following is a PBE calculation of crystalline Li14AlTl at its relaxed geometry, from Alexandria.

formation enthalpy at 0 K: -0.072 eV/atom
density: 1.83 Mg/m³
crystal system: tetragonal
spin magnetization: 0.00 μB/atom

Cell and atoms, written as POSCAR:
```
Li14AlTl
1.0
6.9663 0.0000 0.0000
0.0000 6.9663 0.0000
0.0000 0.0000 6.1529
Li Al Tl
14 1 1
direct
0.0000 0.0000 0.0000
0.0000 0.5000 0.0000
0.0000 0.5000 0.5000
0.2458 0.2458 0.2641
0.2458 0.2458 0.7359
0.2458 0.7542 0.2641
0.2458 0.7542 0.7359
0.5000 0.0000 0.0000
0.5000 0.0000 0.5000
0.5000 0.5000 0.0000
0.7542 0.2458 0.2641
0.7542 0.2458 0.7359
0.7542 0.7542 0.2641
0.7542 0.7542 0.7359
0.0000 0.0000 0.5000
0.5000 0.5000 0.5000
```

# 26
The following is a PBE calculation of crystalline LiAl2Tl at its relaxed geometry, from Alexandria.

formation enthalpy at 0 K: 0.068 eV/atom
density: 5.53 Mg/m³
crystal system: monoclinic
spin magnetization: 0.00 μB/atom

Cell and atoms, written as POSCAR:
```
LiAl2Tl
1.0
2.8416 -5.4068 0.0000
2.8416 5.4068 0.0000
-1.6015 0.0000 2.5907
Li Al Tl
1 2 1
direct
0.0000 0.0000 0.0000
0.0000 0.5000 0.0000
0.5000 0.0000 0.0000
0.5000 0.5000 0.0000
```